# Gd2ZrBi (PBE, relaxed)
data_Gd2ZrBi
_chemical_formula_sum 'Gd6 Zr3 Bi3'
_cell_length_a 3.4497
_cell_length_b 3.4497
_cell_length_c 35.3221
_cell_angle_alpha 90.00
_cell_angle_beta 90.00
_cell_angle_gamma 120.00
_space_group_name_H-M_alt 'R -3 m'
_space_group_IT_number 166
_space_group_name_Hall '-R 3 2"'
loop_
_atom_site_label
_atom_site_type_symbol
_atom_site_fract_x
_atom_site_fract_y
_atom_site_fract_z
Gd1 Gd 0.0000 0.0000 0.0916
Zr1 Zr 0.0000 0.0000 0.5000
Bi1 Bi 0.0000 0.0000 0.0000
# E_form: 6.0 kJ/mol of atoms
# raw total energy: -40.34 eV per formula unit

# LaPmSn (PBE, relaxed)
data_LaPmSn
_chemical_formula_sum 'La1 Pm1 Sn1'
_cell_length_a 5.4323
_cell_length_b 5.4323
_cell_length_c 3.3805
_cell_angle_alpha 90.00
_cell_angle_beta 90.00
_cell_angle_gamma 120.00
_space_group_name_H-M_alt 'P 3 m 1'
_space_group_IT_number 156
loop_
_space_group_symop_operation_xyz
'x,y,z'
'-y,x-y,z'
'-x+y,-x,z'
'-y,-x,z'
'-x+y,y,z'
'x,x-y,z'
loop_
_atom_site_label
_atom_site_type_symbol
_atom_site_fract_x
_atom_site_fract_y
_atom_site_fract_z
La1 La 0.0000 0.0000 0.0000
Pm1 Pm 0.3333 0.6667 0.9937
Sn1 Sn 0.6667 0.3333 0.5002
# E_form: -25.3 kJ/mol of atoms
# raw total energy: -14.47 eV per formula unit

# TlCrSbTe2 (PBE, relaxed)
data_TlCrSbTe2
_chemical_formula_sum 'Tl1 Cr1 Sb1 Te2'
_cell_length_a 5.825
_cell_length_b 5.825
_cell_length_c 5.604
_cell_angle_alpha 90.00
_cell_angle_beta 90.00
_cell_angle_gamma 90.00
_space_group_name_H-M_alt 'P 4/m m m'
_space_group_IT_number 123
_space_group_name_Hall '-P 4 2'
loop_
_atom_site_label
_atom_site_type_symbol
_atom_site_fract_x
_atom_site_fract_y
_atom_site_fract_z
Tl1 Tl 0.000 0.000 0.000
Cr1 Cr 0.500 0.500 0.500
Sb1 Sb 0.000 0.000 0.500
Te1 Te 0.000 0.500 0.000
# formation energy (no corrections): 1.07 eV per atom
# raw total energy: -17.04 eV per formula unit

# CaEuI (PBE, relaxed)
data_CaEuI
_chemical_formula_sum 'Ca2 Eu2 I2'
_cell_length_a 3.941
_cell_length_b 3.941
_cell_length_c 14.444
_cell_angle_alpha 90.00
_cell_angle_beta 90.00
_cell_angle_gamma 90.00
_space_group_name_H-M_alt 'I 4 m m'
_space_group_IT_number 107
_space_group_name_Hall 'I 4 -2'
loop_
_atom_site_label
_atom_site_type_symbol
_atom_site_fract_x
_atom_site_fract_y
_atom_site_fract_z
Ca1 Ca 0.000 0.000 0.000
Eu1 Eu 0.000 0.000 0.308
I1 I 0.000 0.000 0.657
# formation energy (no corrections): -0.65 eV per atom
# raw total energy: -15.79 eV per formula unit

# PrDyThN3 (PBE, relaxed)
data_PrDyThN3
_chemical_formula_sum 'Pr2 Dy2 Th2 N6'
_cell_length_a 6.175
_cell_length_b 3.604
_cell_length_c 9.259
_cell_angle_alpha 90.00
_cell_angle_beta 101.79
_cell_angle_gamma 90.00
_space_group_name_H-M_alt 'P 1 21/m 1'
_space_group_IT_number 11
loop_
_space_group_symop_operation_xyz
'x,y,z'
'-x,-y,-z'
'-x,y+1/2,-z'
'x,-y+1/2,z'
loop_
_atom_site_label
_atom_site_type_symbol
_atom_site_fract_x
_atom_site_fract_y
_atom_site_fract_z
Pr1 Pr 0.154 0.250 0.192
Dy1 Dy 0.354 0.250 0.865
Th1 Th 0.266 0.750 0.548
N1 N 0.048 0.250 0.661
N2 N 0.260 0.750 0.995
N3 N 0.460 0.750 0.346
# formation energy (no corrections): -1.42 eV per atom
# raw total energy: -50.28 eV per formula unit

# Nd3ThSe4 (PBE, relaxed)
data_Nd3ThSe4
_chemical_formula_sum 'Nd6 Th2 Se8'
_cell_length_a 4.1458
_cell_length_b 4.1458
_cell_length_c 28.6923
_cell_angle_alpha 90.00
_cell_angle_beta 90.00
_cell_angle_gamma 120.00
_space_group_name_H-M_alt 'P 63/m m c'
_space_group_IT_number 194
_space_group_name_Hall '-P 6c 2c'
loop_
_atom_site_label
_atom_site_type_symbol
_atom_site_fract_x
_atom_site_fract_y
_atom_site_fract_z
Nd1 Nd 0.0000 0.0000 0.0000
Nd2 Nd 0.3333 0.6667 0.1239
Th1 Th 0.3333 0.6667 0.7500
Se1 Se 0.0000 0.0000 0.1863
Se2 Se 0.3333 0.6667 0.5620
# formation energy (no corrections): -1.75 eV per atom
# raw total energy: -49.64 eV per formula unit

# Tb2Y6Ho5 (PBE, relaxed)
data_Tb2Y6Ho5
_chemical_formula_sum 'Tb4 Y12 Ho10'
_cell_length_a 11.652
_cell_length_b 20.198
_cell_length_c 3.573
_cell_angle_alpha 90.00
_cell_angle_beta 90.00
_cell_angle_gamma 90.00
_space_group_name_H-M_alt 'P b a m'
_space_group_IT_number 55
loop_
_space_group_symop_operation_xyz
'x,y,z'
'-x,-y,-z'
'-x,-y,z'
'x,y,-z'
'x+1/2,-y+1/2,-z'
'-x+1/2,y+1/2,z'
'-x+1/2,y+1/2,-z'
'x+1/2,-y+1/2,z'
loop_
_atom_site_label
_atom_site_type_symbol
_atom_site_fract_x
_atom_site_fract_y
_atom_site_fract_z
Tb1 Tb 0.166 0.210 0.000
Y1 Y 0.057 0.919 0.000
Y2 Y 0.084 0.631 0.000
Y3 Y 0.174 0.366 0.500
Ho1 Ho 0.000 0.500 0.500
Ho2 Ho 0.090 0.773 0.500
Ho3 Ho 0.199 0.049 0.500
# E_form: 9.8 kJ/mol of atoms
# raw total energy: -69.61 eV per formula unit

# Sn2PbIO (PBE, relaxed)
data_Sn2PbIO
_chemical_formula_sum 'Sn2 Pb1 I1 O1'
_cell_length_a 6.153
_cell_length_b 6.153
_cell_length_c 3.983
_cell_angle_alpha 90.00
_cell_angle_beta 90.00
_cell_angle_gamma 90.00
_space_group_name_H-M_alt 'P 4/m m m'
_space_group_IT_number 123
_space_group_name_Hall '-P 4 2'
loop_
_atom_site_label
_atom_site_type_symbol
_atom_site_fract_x
_atom_site_fract_y
_atom_site_fract_z
Sn1 Sn 0.000 0.500 0.000
Pb1 Pb 0.000 0.000 0.500
I1 I 0.500 0.500 0.000
O1 O 0.500 0.500 0.500
# formation energy (no corrections): 0.26 eV per atom
# raw total energy: -16.90 eV per formula unit